[1]
# TlB3Pt (PBE, optimized geometry)
data_TlB3Pt
_chemical_formula_sum 'Tl1 B3 Pt1'
_space_group_name_H-M_alt 'P m -3 m'
_space_group_IT_number 221
_space_group_name_Hall '-P 4 2 3'
_cell_length_a 4.426
_cell_length_b 4.426
_cell_length_c 4.426
_cell_angle_alpha 90.00
_cell_angle_beta 90.00
_cell_angle_gamma 90.00
loop_
_atom_site_label
_atom_site_type_symbol
_atom_site_fract_x
_atom_site_fract_y
_atom_site_fract_z
_atom_site_occupancy
Tl1 Tl 0.000 0.000 0.000 1
B1 B 0.000 0.000 0.500 1
Pt1 Pt 0.500 0.500 0.500 1
# polymorph energy (0 for the lowest one): 1541 meV per atom
# M_tot: 0.00 μB/f.u.
# ΔH_f (0 K): 2657 meV/atom
# volume: 17.346 Å³ per atom

***

[2]
# Na2Ca4Pt (PBE, optimized geometry)
data_Na2Ca4Pt
_chemical_formula_sum 'Na4 Ca8 Pt2'
_space_group_name_H-M_alt 'I 4/m m m'
_space_group_IT_number 139
_space_group_name_Hall '-I 4 2'
_cell_length_a 5.590
_cell_length_b 5.590
_cell_length_c 17.835
_cell_angle_alpha 90.00
_cell_angle_beta 90.00
_cell_angle_gamma 90.00
loop_
_atom_site_label
_atom_site_type_symbol
_atom_site_fract_x
_atom_site_fract_y
_atom_site_fract_z
_atom_site_occupancy
Na1 Na 0.000 0.000 0.138 1
Ca1 Ca 0.000 0.000 0.341 1
Ca2 Ca 0.000 0.500 0.000 1
Pt1 Pt 0.000 0.000 0.500 1
# M_tot: 0.00 μB/f.u.
# ΔH_f (0 K): -234 meV/atom
# volume: 39.807 Å³ per atom

***

[3]
# Li2CuOsO6 (PBE, optimized geometry)
data_Li2CuOsO6
_chemical_formula_sum 'Li4 Cu2 Os2 O12'
_space_group_name_H-M_alt 'C 1 2/m 1'
_space_group_IT_number 12
_space_group_name_Hall '-C 2y'
_cell_length_a 10.072
_cell_length_b 5.219
_cell_length_c 4.609
_cell_angle_alpha 90.00
_cell_angle_beta 116.42
_cell_angle_gamma 90.00
loop_
_atom_site_label
_atom_site_type_symbol
_atom_site_fract_x
_atom_site_fract_y
_atom_site_fract_z
_atom_site_occupancy
Li1 Li 0.250 0.000 0.150 1
Cu1 Cu 0.000 0.500 0.000 1
Os1 Os 0.000 0.000 0.500 1
O1 O 0.087 0.256 0.836 1
O2 O 0.169 0.000 0.456 1
# M_tot: 0.00 μB/f.u.
# formation energy without anion corrections: -1176.7 meV/atom
# volume: 10.849 Å³ per atom

***

[4]
# AlSbN2 (PBE, optimized geometry)
data_AlSbN2
_chemical_formula_sum 'Al4 Sb4 N8'
_space_group_name_H-M_alt 'I -4 2 d'
_space_group_IT_number 122
_space_group_name_Hall 'I -4 2bw'
_cell_length_a 4.970
_cell_length_b 4.970
_cell_length_c 9.282
_cell_angle_alpha 90.00
_cell_angle_beta 90.00
_cell_angle_gamma 90.00
loop_
_atom_site_label
_atom_site_type_symbol
_atom_site_fract_x
_atom_site_fract_y
_atom_site_fract_z
_atom_site_occupancy
Al1 Al 0.000 0.000 0.000 1
Sb1 Sb 0.000 0.000 0.500 1
N1 N 0.174 0.250 0.125 1
# polymorph energy (0 for the lowest one): 0 meV per atom
# M_tot: 0.00 μB/f.u.
# formation energy without anion corrections: -79.9 meV/atom
# volume: 14.329 Å³ per atom

***

[5]
# DyTmCdRu (PBE, optimized geometry)
data_DyTmCdRu
_chemical_formula_sum 'Dy1 Tm1 Cd1 Ru1'
_space_group_name_H-M_alt 'P 4 m m'
_space_group_IT_number 99
_space_group_name_Hall 'P 4 -2'
_cell_length_a 3.439
_cell_length_b 3.439
_cell_length_c 7.636
_cell_angle_alpha 90.00
_cell_angle_beta 90.00
_cell_angle_gamma 90.00
loop_
_atom_site_label
_atom_site_type_symbol
_atom_site_fract_x
_atom_site_fract_y
_atom_site_fract_z
_atom_site_occupancy
Dy1 Dy 0.000 0.000 0.000 1
Tm1 Tm 0.000 0.000 0.570 1
Cd1 Cd 0.500 0.500 0.290 1
Ru1 Ru 0.500 0.500 0.781 1
# polymorph energy (0 for the lowest one): 0 meV per atom
# M_tot: 0.00 μB/f.u.
# ΔH_f (0 K): -434 meV/atom
# volume: 22.572 Å³ per atom

***

[6]
# K3In4Sn4 (PBE, optimized geometry)
data_K3In4Sn4
_chemical_formula_sum 'K3 In4 Sn4'
_space_group_name_H-M_alt 'P -1'
_space_group_IT_number 2
_space_group_name_Hall '-P 1'
_cell_length_a 4.889
_cell_length_b 5.390
_cell_length_c 15.076
_cell_angle_alpha 79.72
_cell_angle_beta 80.72
_cell_angle_gamma 89.90
loop_
_atom_site_label
_atom_site_type_symbol
_atom_site_fract_x
_atom_site_fract_y
_atom_site_fract_z
_atom_site_occupancy
K1 K 0.000 0.000 0.000 1
K2 K 0.355 0.859 0.290 1
In1 In 0.193 0.702 0.612 1
In2 In 0.451 0.426 0.097 1
Sn1 Sn 0.096 0.563 0.807 1
Sn2 Sn 0.248 0.253 0.507 1
# M_tot: 0.00 μB/f.u.
# ΔH_f (0 K): -152 meV/atom
# volume: 35.059 Å³ per atom

***

[7]
# La8Pm2Hg (PBE, optimized geometry)
data_La8Pm2Hg
_chemical_formula_sum 'La16 Pm4 Hg2'
_space_group_name_H-M_alt 'C 1 2/m 1'
_space_group_IT_number 12
_space_group_name_Hall '-C 2y'
_cell_length_a 20.050
_cell_length_b 5.854
_cell_length_c 6.648
_cell_angle_alpha 90.00
_cell_angle_beta 94.04
_cell_angle_gamma 90.00
loop_
_atom_site_label
_atom_site_type_symbol
_atom_site_fract_x
_atom_site_fract_y
_atom_site_fract_z
_atom_site_occupancy
La1 La 0.039 0.000 0.255 1
La2 La 0.082 0.500 0.603 1
La3 La 0.155 0.000 0.793 1
La4 La 0.160 0.500 0.120 1
Pm1 Pm 0.236 0.000 0.333 1
Hg1 Hg 0.000 0.500 0.000 1
# M_tot: 0.00 μB/f.u.
# ΔH_f (0 K): -56 meV/atom
# volume: 35.375 Å³ per atom

***

[8]
# TbTmTe3 (PBE, optimized geometry)
data_TbTmTe3
_chemical_formula_sum 'Tb6 Tm6 Te18'
_space_group_name_H-M_alt 'R -3'
_space_group_IT_number 148
_space_group_name_Hall '-R 3'
_cell_length_a 7.6580
_cell_length_b 7.6580
_cell_length_c 21.0081
_cell_angle_alpha 90.00
_cell_angle_beta 90.00
_cell_angle_gamma 120.00
loop_
_atom_site_label
_atom_site_type_symbol
_atom_site_fract_x
_atom_site_fract_y
_atom_site_fract_z
_atom_site_occupancy
Tb1 Tb 0.0000 0.0000 0.1569 1
Tm1 Tm 0.0000 0.0000 0.3420 1
Te1 Te 0.0032 0.3160 0.2511 1
# polymorph energy (0 for the lowest one): 0 meV per atom
# M_tot: 0.00 μB/f.u.
# formation energy without anion corrections: -1349.3 meV/atom
# volume: 35.566 Å³ per atom

***

[9]
# LiPrAgGe (PBE, optimized geometry)
data_LiPrAgGe
_chemical_formula_sum 'Li4 Pr4 Ag4 Ge4'
_space_group_name_H-M_alt 'F -4 3 m'
_space_group_IT_number 216
_space_group_name_Hall 'F -4 2 3'
_cell_length_a 7.057
_cell_length_b 7.057
_cell_length_c 7.057
_cell_angle_alpha 90.00
_cell_angle_beta 90.00
_cell_angle_gamma 90.00
loop_
_atom_site_label
_atom_site_type_symbol
_atom_site_fract_x
_atom_site_fract_y
_atom_site_fract_z
_atom_site_occupancy
Li1 Li 0.000 0.000 0.000 1
Pr1 Pr 0.000 0.000 0.500 1
Ag1 Ag 0.250 0.250 0.750 1
Ge1 Ge 0.250 0.250 0.250 1
# M_tot: 0.00 μB/f.u.
# ΔH_f (0 K): -415 meV/atom
# volume: 21.966 Å³ per atom

***

[10]
# TcSb2Rh (PBE, optimized geometry)
data_TcSb2Rh
_chemical_formula_sum 'Tc1 Sb2 Rh1'
_space_group_name_H-M_alt 'P 4 m m'
_space_group_IT_number 99
_space_group_name_Hall 'P 4 -2'
_cell_length_a 3.139
_cell_length_b 3.139
_cell_length_c 8.177
_cell_angle_alpha 90.00
_cell_angle_beta 90.00
_cell_angle_gamma 90.00
loop_
_atom_site_label
_atom_site_type_symbol
_atom_site_fract_x
_atom_site_fract_y
_atom_site_fract_z
_atom_site_occupancy
Tc1 Tc 0.000 0.000 0.000 1
Sb1 Sb 0.000 0.000 0.410 1
Sb2 Sb 0.500 0.500 0.794 1
Rh1 Rh 0.500 0.500 0.207 1
# polymorph energy (0 for the lowest one): 106 meV per atom
# M_tot: 0.00 μB/f.u.
# formation energy without anion corrections: 38.6 meV/atom
# volume: 20.136 Å³ per atom

***

[11]
# BaCa14Y (PBE, optimized geometry)
data_BaCa14Y
_chemical_formula_sum 'Ba2 Ca28 Y2'
_space_group_name_H-M_alt 'A m m 2'
_space_group_IT_number 38
_space_group_name_Hall 'A 2 -2'
_cell_length_a 12.815
_cell_length_b 7.798
_cell_length_c 13.522
_cell_angle_alpha 90.00
_cell_angle_beta 90.00
_cell_angle_gamma 90.00
loop_
_atom_site_label
_atom_site_type_symbol
_atom_site_fract_x
_atom_site_fract_y
_atom_site_fract_z
_atom_site_occupancy
Ba1 Ba 0.000 0.000 0.000 1
Ca1 Ca 0.000 0.249 0.250 1
Ca2 Ca 0.245 0.000 0.665 1
Ca3 Ca 0.250 0.245 0.416 1
Ca4 Ca 0.254 0.000 0.168 1
Ca5 Ca 0.500 0.000 0.333 1
Ca6 Ca 0.500 0.000 0.832 1
Ca7 Ca 0.500 0.249 0.583 1
Y1 Y 0.000 0.000 0.500 1
# M_tot: 0.19 μB/f.u.
# ΔH_f (0 K): 45 meV/atom
# volume: 42.229 Å³ per atom

***

[12]
# AgTe2Se2Br2 (PBE, optimized geometry)
data_AgTe2Se2Br2
_chemical_formula_sum 'Ag1 Te2 Se2 Br2'
_space_group_name_H-M_alt 'P -1'
_space_group_IT_number 2
_space_group_name_Hall '-P 1'
_cell_length_a 3.843
_cell_length_b 7.593
_cell_length_c 8.294
_cell_angle_alpha 103.40
_cell_angle_beta 103.15
_cell_angle_gamma 104.61
loop_
_atom_site_label
_atom_site_type_symbol
_atom_site_fract_x
_atom_site_fract_y
_atom_site_fract_z
_atom_site_occupancy
Ag1 Ag 0.000 0.000 0.000 1
Te1 Te 0.405 0.592 0.217 1
Se1 Se 0.062 0.854 0.271 1
Br1 Br 0.252 0.729 0.776 1
# M_tot: 0.00 μB/f.u.
# formation energy without anion corrections: -133.8 meV/atom
# volume: 31.010 Å³ per atom